1.
An optimized crystal structure of KRe2N, computed with PBE.

Unit cell a=6.3095 b=6.3095 c=6.3095 alpha=121.31 beta=121.31 gamma=87.74
Last column: nearest neighbours and their distance in Å.
Fractional positions:
K 0.0000 0.0000 0.0000  12 Re 3.52-3.76, 4 K 3.84, 4 N 3.84
K 0.7500 0.2500 0.5000  12 Re 3.52-3.76, 4 K 3.84, 4 N 3.84
Re 0.3523 0.1250 0.7273  2 N 1.92
Re 0.3750 0.6477 0.7727  2 N 1.92
Re 0.3977 0.6250 0.2727  2 N 1.92
Re 0.8750 0.6023 0.2273  2 N 1.92
N 0.2500 0.7500 0.5000  4 Re 1.92
N 0.5000 0.5000 0.0000  4 Re 1.92

Values from the calculation:
VASP energy	-29.77	eV per formula unit
energy relative to the elements, uncorrected	1.1367	eV per atom
calculated volume	173.94	Å³ per cell
DOS at the Fermi energy	5.84	states/eV per cell
space group	I-42d (122)



2.
An optimized crystal structure of UAuSe4, computed with PBE.

Unit cell a=4.8254 b=4.8254 c=7.0333 alpha=101.29 beta=101.29 gamma=86.92
Last column: nearest neighbours and their distance in Å.
Fractional positions:
U 0.0000 0.0000 0.0000  8 Se 2.88-2.89
Au 0.5000 0.5000 0.5000  4 Se 2.55
Se 0.0723 0.5614 0.2339  1 Au 2.55
Se 0.4386 0.9277 0.7661  1 Au 2.55
Se 0.5614 0.0723 0.2339  1 Au 2.55
Se 0.9277 0.4386 0.7661  1 Au 2.55

Values from the calculation:
VASP energy	-31.45	eV per formula unit
energy relative to the elements, uncorrected	-0.4911	eV per atom
calculated volume	157.47	Å³ per cell
DOS at the Fermi energy	5.80	states/eV per cell
space group	C2/m (12)



3.
An optimized crystal structure of ZrRhO, computed with PBE.

Unit cell a=7.5363 b=7.5363 c=7.5363 alpha=153.02 beta=153.02 gamma=38.53
Last column: nearest neighbours and their distance in Å.
Fractional positions:
Zr 0.0958 0.0958 0.0000  4 O 2.22
Zr 0.9042 0.9042 0.0000  4 O 2.22
Rh 0.2835 0.2835 0.0000  4 Rh 2.66, 1 Zr 2.67
Rh 0.7165 0.7165 0.0000  4 Rh 2.66, 1 Zr 2.67
O 0.0000 0.5000 0.5000  4 Zr 2.22, 4 O 2.49
O 0.5000 0.0000 0.5000  4 Zr 2.22, 4 O 2.49

Values from the calculation:
VASP energy	-25.15	eV per formula unit
energy relative to the elements, uncorrected	-1.4297	eV per atom
calculated volume	87.97	Å³ per cell
DOS at the Fermi energy	6.32	states/eV per cell
space group	I4/mmm (139)



4.
An optimized crystal structure of Hf2TiP2, computed with PBE.

Unit cell a=7.7081 b=7.7081 c=6.6421 alpha=90.00 beta=90.00 gamma=152.99
Last column: nearest neighbours and their distance in Å.
Fractional positions:
Hf 0.0394 0.9606 0.5000  5 P 2.69-2.73, 2 Ti 3.00
Hf 0.1893 0.8107 0.1240  5 P 2.57-2.71
Hf 0.8107 0.1893 0.6240  5 P 2.57-2.71
Hf 0.9606 0.0394 0.0000  5 P 2.69-2.73, 2 Ti 3.00
Ti 0.3963 0.6037 0.3300  4 P 2.38-2.58
Ti 0.6037 0.3963 0.8300  4 P 2.38-2.58
P 0.1948 0.8052 0.7155  2 Ti 2.38, 2 Hf 2.57
P 0.4409 0.5591 0.7033  2 Ti 2.57-2.58, 6 Hf 2.69-2.71
P 0.5591 0.4409 0.2033  2 Ti 2.57-2.58, 6 Hf 2.69-2.71
P 0.8052 0.1948 0.2155  2 Ti 2.38, 2 Hf 2.57

Values from the calculation:
formation energy from the elements	-0.987	eV per atom
VASP energy	-43.56	eV per formula unit
ΔE to the lowest computed polymorph	134	meV/atom
calculated volume	179.19	Å³ per cell
DOS at the Fermi energy	6.51	states/eV per cell
space group	Cmc2_1 (36)



5.
An optimized crystal structure of BeZn2, computed with PBE.

Unit cell a=4.0438 b=4.0438 c=5.4987 alpha=90.00 beta=90.00 gamma=120.00
Last column: nearest neighbours and their distance in Å.
Fractional positions:
Be 0.3333 0.6667 0.2500  3 Zn 2.33
Be 0.6667 0.3333 0.7500  3 Zn 2.33
Zn 0.0000 0.0000 0.0000  8 Zn 2.71-2.75, 6 Be 2.71
Zn 0.0000 0.0000 0.5000  6 Be 2.71, 8 Zn 2.71-2.75
Zn 0.3333 0.6667 0.7500  3 Be 2.33
Zn 0.6667 0.3333 0.2500  3 Be 2.33

Values from the calculation:
formation energy from the elements	0.245	eV per atom
VASP energy	-5.54	eV per formula unit
calculated volume	77.87	Å³ per cell
DOS at the Fermi energy	1.05	states/eV per cell
space group	P6_3/mmc (194)



6.
An optimized crystal structure of Hf2ScPAu, computed with PBE.

Unit cell a=4.8557 b=4.8557 c=4.7183 alpha=90.00 beta=90.00 gamma=90.00
Last column: nearest neighbours and their distance in Å.
Fractional positions:
Hf 0.0000 0.5000 0.0000  2 P 2.43
Hf 0.5000 0.0000 0.0000  2 P 2.43
Sc 0.0000 0.0000 0.5000  8 Hf 3.39, 4 Au 3.43
P 0.5000 0.5000 0.0000  2 Au 2.36, 4 Hf 2.43
Au 0.5000 0.5000 0.5000  2 P 2.36

Values from the calculation:
formation energy from the elements	-0.107	eV per atom
VASP energy	-35.46	eV per formula unit
calculated volume	111.25	Å³ per cell
DOS at the Fermi energy	5.54	states/eV per cell
space group	P4/mmm (123)